Entry from Alexandria: a geometry-optimized Sr2BiAu9 structure (PBE).

Results
As for the calculated formation energy: -420 kJ/mol of formula units. The calculation puts the calculated volume at 22.30 A^3/atom. For the final energy, the calculation gives -41.10 eV/f.u.

a b c (Å): 5.750 5.750 9.920
angles (deg): 73.15 73.15 60.00
Element x y z (fractional)
1 Au 0.586 0.080 0.748
2 Au 0.414 0.414 0.252
3 Au 0.500 0.500 0.500
4 Au 0.667 0.667 0.998
5 Au 0.414 0.920 0.252
6 Au 0.920 0.414 0.252
7 Au 0.080 0.586 0.748
8 Au 0.586 0.586 0.748
9 Au 0.333 0.333 0.002
10 Bi 0.000 0.000 0.000
11 Sr 0.864 0.864 0.408
12 Sr 0.136 0.136 0.592



Entry from Alexandria: a geometry-optimized Tb2DySc5 structure (PBE).

Results
The calculation puts the relative energy among the computed polymorphs at 0.029 eV/atom. As for the calculated formation energy: 43 kJ/mol of formula units. The calculation puts the calculated volume at 27.03 A^3/atom. For the final energy, the calculation gives -45.07 eV/f.u.

a b c (Å): 4.787 6.719 13.448
angles (deg): 90.00 90.00 90.00
Element x y z (fractional)
1 Sc 0.500 0.755 0.626
2 Sc 0.000 0.508 0.748
3 Sc 0.500 0.245 0.374
4 Sc 0.000 0.492 0.252
5 Sc 0.500 0.255 0.874
6 Sc 0.000 0.500 0.500
7 Sc 0.000 0.008 0.752
8 Sc 0.500 0.745 0.126
9 Sc 0.000 0.992 0.248
10 Sc 0.000 0.000 0.000
11 Tb 0.500 0.742 0.373
12 Tb 0.500 0.758 0.873
13 Tb 0.500 0.258 0.627
14 Tb 0.500 0.242 0.127
15 Dy 0.000 0.000 0.500
16 Dy 0.000 0.500 0.000